1.
A plane-wave DFT calculation with PBE was carried out for TlFeSi2Pb after structural relaxation.

Cell: 5.263 5.948 5.263 Å, 90.00 90.00 90.00°
Last column: magnetic moment on the atom in μB.
Sites, in units of the cell vectors:
Pb (0.000, 0.000, 0.000)  0.00
Tl (0.000, 0.500, 0.000)  -0.01
Si (0.000, 0.000, 0.500)  -0.03
Si (0.500, 0.000, 0.000)  -0.06
Fe (0.500, 0.500, 0.500)  3.34

Computed properties:
- Formation energy from raw total energies: 1.725 eV/atom
- DFT total energy: -16.76 eV for the cell shown


2.
A plane-wave DFT calculation with PBE was carried out for ZnFeSi2Pb after structural relaxation.

Cell: 5.340 5.036 5.340 Å, 90.00 90.00 90.00°
Last column: magnetic moment on the atom in μB.
Sites, in units of the cell vectors:
Pb (0.000, 0.000, 0.000)  -0.02
Zn (0.000, 0.500, 0.000)  -0.02
Si (0.000, 0.000, 0.500)  -0.06
Si (0.500, 0.000, 0.000)  -0.08
Fe (0.500, 0.500, 0.500)  3.32

Computed properties:
- Formation energy from raw total energies: 1.750 eV/atom
- DFT total energy: -15.54 eV for the cell shown


3.
A plane-wave DFT calculation with PBE was carried out for Sm6Fe2Pb after structural relaxation.

Cell: 8.658 8.658 8.658 Å, 107.43 111.60 109.41°
Last column: magnetic moment on the atom in μB.
Sites, in units of the cell vectors:
Sm (0.523, 0.812, 0.711)  -0.12
Sm (0.477, 0.188, 0.289)  -0.12
Sm (0.101, 0.812, 0.289)  -0.12
Sm (0.899, 0.188, 0.711)  -0.12
Sm (0.783, 0.010, 0.227)  -0.11
Sm (0.217, 0.990, 0.773)  -0.11
Sm (0.217, 0.444, 0.227)  -0.11
Sm (0.783, 0.556, 0.773)  -0.11
Sm (0.700, 0.311, 0.011)  -0.15
Sm (0.300, 0.689, 0.989)  -0.15
Sm (0.300, 0.311, 0.611)  -0.15
Sm (0.700, 0.689, 0.389)  -0.15
Fe (0.500, 0.105, 0.605)  1.31
Fe (0.500, 0.895, 0.395)  1.31
Fe (0.608, 0.608, 0.000)  1.53
Fe (0.392, 0.392, 0.000)  1.53
Pb (0.000, 0.500, 0.500)  0.01
Pb (0.000, 0.000, 0.000)  -0.01

Computed properties:
- DFT total energy: -99.99 eV for the cell shown


4.
A plane-wave DFT calculation with PBE was carried out for Fe3SnPb after structural relaxation.

Cell: 4.833 4.833 4.833 Å, 90.00 90.00 90.00°
Last column: magnetic moment on the atom in μB.
Sites, in units of the cell vectors:
Pb (0.500, 0.500, 0.500)  -0.10
Sn (0.000, 0.000, 0.000)  -0.10
Fe (0.000, 0.500, 0.000)  2.71
Fe (0.000, 0.000, 0.500)  2.84
Fe (0.500, 0.000, 0.000)  2.73

Computed properties:
- DFT total energy: -27.31 eV for the cell shown


5.
A plane-wave DFT calculation with PBE was carried out for FeSn3Pb after structural relaxation.

Cell: 5.721 5.721 5.721 Å, 90.00 90.00 90.00°
Last column: magnetic moment on the atom in μB.
Sites, in units of the cell vectors:
Pb (0.000, 0.000, 0.000)  0.00
Sn (0.000, 0.500, 0.000)  -0.03
Sn (0.000, 0.000, 0.500)  -0.01
Sn (0.500, 0.000, 0.000)  -0.07
Fe (0.500, 0.500, 0.500)  0.22

Computed properties:
- DFT total energy: -15.80 eV for the cell shown


6.
A plane-wave DFT calculation with PBE was carried out for FeSn3Pb after structural relaxation.

Cell: 5.034 5.034 5.034 Å, 90.00 90.00 90.00°
Last column: magnetic moment on the atom in μB.
Sites, in units of the cell vectors:
Pb (0.500, 0.500, 0.500)  0.14
Sn (0.000, 0.500, 0.000)  -0.01
Sn (0.000, 0.000, 0.500)  -0.02
Sn (0.500, 0.000, 0.000)  -0.02
Fe (0.000, 0.000, 0.000)  0.76

Computed properties:
- DFT total energy: -23.16 eV for the cell shown


> Which of these has the lowest DFT total energy?

Sm6Fe2Pb


Repeat the sixth record exactly.
A plane-wave DFT calculation with PBE was carried out for FeSn3Pb after structural relaxation.

Cell: 5.034 5.034 5.034 Å, 90.00 90.00 90.00°
Last column: magnetic moment on the atom in μB.
Sites, in units of the cell vectors:
Pb (0.500, 0.500, 0.500)  0.14
Sn (0.000, 0.500, 0.000)  -0.01
Sn (0.000, 0.000, 0.500)  -0.02
Sn (0.500, 0.000, 0.000)  -0.02
Fe (0.000, 0.000, 0.000)  0.76

Computed properties:
- DFT total energy: -23.16 eV for the cell shown